Record 1
A relaxed TbErAgIr crystal, computed with GGA-PBE.

The total energy is -5.8341 eV/atom. The value obtained for the formation energy is -58.6 kJ/mol of atoms. Its density of states at the Fermi level is 0.81 states/eV/atom.

abc: 7.017 7.017 7.017
angles: 90.00 90.00 90.00
Space group F-43m (No. 216)
Asymmetric unit:
Tb  0.000  0.000  0.000 x4
Er  0.000  0.000  0.500 x4
Ag  0.250  0.250  0.250 x4
Ir  0.250  0.250  0.750 x4

Record 2
A relaxed SrTmAlGa crystal, computed with GGA-PBE.

The total energy is -3.4871 eV/atom. The value obtained for the formation energy is -24.7 kJ/mol of atoms. Its density of states at the Fermi level is 0.75 states/eV/atom.

abc: 7.452 7.452 7.452
angles: 90.00 90.00 90.00
Space group F-43m (No. 216)
Asymmetric unit:
Sr  0.000  0.000  0.000 x4
Tm  0.000  0.000  0.500 x4
Al  0.250  0.250  0.750 x4
Ga  0.250  0.250  0.250 x4

Record 3
A relaxed Nd5CdCo crystal, computed with GGA-PBE.

The total energy is -4.5757 eV/atom. The value obtained for the formation energy is -2.3 kJ/mol of atoms. Its density of states at the Fermi level is 1.12 states/eV/atom.

abc: 10.137 7.363 11.869
angles: 90.00 108.60 90.00
Space group C2/c (No. 15)
Asymmetric unit:
Nd  0.000  0.003  0.250 x4
Nd  0.120  0.321  0.556 x8
Nd  0.233  0.179  0.132 x8
Cd  0.000  0.433  0.250 x4
Co  0.000  0.000  0.000 x4

Record 4
A relaxed CaFe2Pt crystal, computed with GGA-PBE.

The total energy is -6.1444 eV/atom. The value obtained for the formation energy is 9.4 kJ/mol of atoms. Its density of states at the Fermi level is 0.66 states/eV/atom.

abc: 2.969 4.731 9.312
angles: 90.00 90.00 90.00
Space group Imm2 (No. 44)
Asymmetric unit:
Ca  0.000  0.000  0.000 x2
Fe  0.000  0.000  0.483 x2
Fe  0.000  0.500  0.783 x2
Pt  0.000  0.500  0.220 x2

Record 5
A relaxed AcPuAg2 crystal, computed with GGA-PBE.

For the polymorph energy (0 for the lowest one), the calculation gives 0.00 eV/f.u. The total energy is -6.0734 eV/atom. The value obtained for the formation energy is -3.6 kJ/mol of atoms. Its density of states at the Fermi level is 2.94 states/eV/atom.

abc: 3.836 3.836 7.584
angles: 90.00 90.00 90.00
Space group P4/mmm (No. 123)
Asymmetric unit:
Ac  0.000  0.000  0.000 x1
Pu  0.000  0.000  0.500 x1
Ag  0.500  0.500  0.272 x2

Record 6
A relaxed ThUP crystal, computed with GGA-PBE.

For the polymorph energy (0 for the lowest one), the calculation gives 1.08 eV/f.u. The total energy is -8.3009 eV/atom. The value obtained for the formation energy is -25.2 kJ/mol of atoms. Its density of states at the Fermi level is 1.79 states/eV/atom.

abc: 3.8244 3.8244 5.2917
angles: 90.00 90.00 120.00
Space group P3m1 (No. 156)
Asymmetric unit:
Th  0.0000  0.0000  0.0000 x1
U  0.3333  0.6667  0.3327 x1
P  0.6667  0.3333  0.6376 x1

Record 7
A relaxed Cd2HF crystal, computed with GGA-PBE.

For the polymorph energy (0 for the lowest one), the calculation gives 0.00 eV/f.u. The total energy is -2.2363 eV/atom. Its density of states at the Fermi level is 0.14 states/eV/atom.

abc: 4.667 4.667 12.816
angles: 90.00 90.00 90.00
Space group I-42d (No. 122)
Asymmetric unit:
Cd  0.193  0.250  0.125 x8
H  0.000  0.000  0.000 x4
F  0.000  0.000  0.500 x4

Record 8
A relaxed CuTc2Mo crystal, computed with GGA-PBE.

For the polymorph energy (0 for the lowest one), the calculation gives 0.42 eV/f.u. The total energy is -8.6614 eV/atom. The value obtained for the formation energy is 24.5 kJ/mol of atoms. Its density of states at the Fermi level is 1.10 states/eV/atom.

abc: 3.183 4.286 8.530
angles: 90.00 90.00 90.00
Space group Immm (No. 71)
Asymmetric unit:
Cu  0.000  0.000  0.000 x2
Tc  0.000  0.500  0.240 x4
Mo  0.000  0.000  0.500 x2

Record 9
A relaxed ReBiO2 crystal, computed with GGA-PBE.

The total energy is -7.0606 eV/atom. Its density of states at the Fermi level is 0.56 states/eV/atom.

abc: 3.0001 3.0001 23.3054
angles: 90.00 90.00 120.00
Space group R-3m (No. 166, hexagonal axes)
Asymmetric unit:
Re  0.0000  0.0000  0.0000 x3
Bi  0.0000  0.0000  0.5000 x3
O  0.0000  0.0000  0.3861 x6

Record 10
A relaxed AcSm2Mg2 crystal, computed with GGA-PBE.

The total energy is -3.2864 eV/atom. The value obtained for the formation energy is 5.9 kJ/mol of atoms. Its density of states at the Fermi level is 1.09 states/eV/atom.

abc: 4.023 21.200 3.849
angles: 90.00 90.00 90.00
Space group Cmmm (No. 65)
Asymmetric unit:
Ac  0.000  0.000  0.000 x2
Sm  0.000  0.185  0.000 x4
Mg  0.000  0.398  0.500 x4

Record 11
A relaxed Ce3MnNi8 crystal, computed with GGA-PBE.

The total energy is -6.4220 eV/atom. The value obtained for the formation energy is -30.9 kJ/mol of atoms. Its density of states at the Fermi level is 1.22 states/eV/atom.

abc: 4.9883 4.9883 24.6522
angles: 90.00 90.00 120.00
Space group R3m (No. 160, hexagonal axes)
Asymmetric unit:
Ce  0.0000  0.0000  0.0000 x3
Ce  0.0000  0.0000  0.1281 x3
Ce  0.0000  0.0000  0.6176 x3
Mn  0.0000  0.0000  0.4952 x3
Ni  0.0000  0.0000  0.3113 x3
Ni  0.0000  0.0000  0.8116 x3
Ni  0.0008  0.5004  0.5591 x9
Ni  0.0035  0.5017  0.0634 x9

Record 12
A relaxed Rb4PdF5 crystal, computed with GGA-PBE.

The total energy is -4.0117 eV/atom. Its density of states at the Fermi level is 0.06 states/eV/atom.

abc: 8.601 8.601 5.866
angles: 90.00 90.00 90.00
Space group I4 (No. 79)
Asymmetric unit:
Rb  0.097  0.708  0.000 x8
Pd  0.000  0.000  0.500 x2
F  0.000  0.000  0.998 x2
F  0.085  0.736  0.500 x8

Record 13
A relaxed YTaRe2 crystal, computed with GGA-PBE.

The total energy is -10.5174 eV/atom. The value obtained for the formation energy is 27.6 kJ/mol of atoms. Its density of states at the Fermi level is 0.86 states/eV/atom.

abc: 5.892 9.136 2.832
angles: 90.00 110.86 90.00
Space group C2/m (No. 12)
Asymmetric unit:
Y  0.000  0.000  0.000 x2
Ta  0.000  0.500  0.000 x2
Re  0.250  0.250  0.500 x4

Record 14
A relaxed PmMgGa2Pt4 crystal, computed with GGA-PBE.

The total energy is -5.4182 eV/atom. The value obtained for the formation energy is -81.8 kJ/mol of atoms. Its density of states at the Fermi level is 0.47 states/eV/atom.

abc: 4.3430 4.3430 26.2314
angles: 90.00 90.00 120.00
Space group R-3m (No. 166, hexagonal axes)
Asymmetric unit:
Pm  0.0000  0.0000  0.0000 x3
Mg  0.0000  0.0000  0.5000 x3
Ga  0.0000  0.0000  0.2414 x6
Pt  0.0000  0.0000  0.1320 x6
Pt  0.0000  0.0000  0.4013 x6

Record 15
A relaxed NaCdGaNi2 crystal, computed with GGA-PBE.

The total energy is -2.1342 eV/atom. The value obtained for the formation energy is 118.7 kJ/mol of atoms. Its density of states at the Fermi level is 1.33 states/eV/atom.

abc: 4.549 4.549 4.925
angles: 90.00 90.00 90.00
Space group P4/mmm (No. 123)
Asymmetric unit:
Na  0.000  0.000  0.000 x1
Cd  0.000  0.000  0.500 x1
Ga  0.500  0.500  0.500 x1
Ni  0.000  0.500  0.000 x2

Record 16
A relaxed ZrMnPb2S5 crystal, computed with GGA-PBE.

The total energy is -5.9355 eV/atom.

abc: 3.870 17.053 12.916
angles: 90.00 90.00 90.00
Space group Cmc2_1 (No. 36)
Asymmetric unit:
Zr  0.000  0.213  0.000 x4
Mn  0.000  0.435  0.413 x4
Pb  0.000  0.097  0.627 x4
Pb  0.000  0.122  0.282 x4
S  0.000  0.060  0.022 x4
S  0.000  0.276  0.635 x4
S  0.000  0.300  0.365 x4
S  0.000  0.362  0.970 x4
S  0.000  0.500  0.253 x4

Record 17
A relaxed HfSF3 crystal, computed with GGA-PBE.

For the polymorph energy (0 for the lowest one), the calculation gives 0.00 eV/f.u. The total energy is -6.2240 eV/atom. Its density of states at the Fermi level is 1.12 states/eV/atom.

abc: 4.169 4.169 4.169
angles: 90.00 90.00 90.00
Space group Pm-3m (No. 221)
Asymmetric unit:
Hf  0.000  0.000  0.000 x1
S  0.500  0.500  0.500 x1
F  0.000  0.000  0.500 x3

Record 18
A relaxed Nd8Dy3Er3 crystal, computed with GGA-PBE.

The total energy is -4.5806 eV/atom. The value obtained for the formation energy is 10.4 kJ/mol of atoms. Its density of states at the Fermi level is 1.34 states/eV/atom.

abc: 5.681 10.908 15.192
angles: 90.00 90.00 90.00
Space group Immm (No. 71)
Asymmetric unit:
Nd  0.000  0.157  0.224 x8
Nd  0.000  0.337  0.396 x8
Dy  0.000  0.000  0.500 x2
Dy  0.000  0.500  0.179 x4
Er  0.000  0.000  0.000 x2
Er  0.000  0.302  0.000 x4

Record 19
A relaxed CeAl12Ni4 crystal, computed with GGA-PBE.

The total energy is -4.4524 eV/atom. The value obtained for the formation energy is -9.8 kJ/mol of atoms. Its density of states at the Fermi level is 0.99 states/eV/atom.

abc: 8.570 8.570 8.570
angles: 90.00 90.00 90.00
Space group Im-3 (No. 204)
Asymmetric unit:
Ce  0.000  0.000  0.000 x2
Al  0.000  0.331  0.190 x24
Ni  0.250  0.250  0.250 x8

Record 20
A relaxed Tb4SnPd15 crystal, computed with GGA-PBE.

The total energy is -5.8184 eV/atom. The value obtained for the formation energy is -77.0 kJ/mol of atoms. Its density of states at the Fermi level is 0.40 states/eV/atom.

abc: 4.121 4.121 20.510
angles: 90.00 90.00 90.00
Space group P4/mmm (No. 123)
Asymmetric unit:
Tb  0.000  0.000  0.101 x2
Tb  0.000  0.000  0.302 x2
Sn  0.000  0.000  0.500 x1
Pd  0.000  0.500  0.000 x2
Pd  0.000  0.500  0.202 x4
Pd  0.000  0.500  0.405 x4
Pd  0.500  0.500  0.102 x2
Pd  0.500  0.500  0.304 x2
Pd  0.500  0.500  0.500 x1

Record 21
A relaxed NaTe2Pd crystal, computed with GGA-PBE.

For the polymorph energy (0 for the lowest one), the calculation gives 0.00 eV/f.u. The total energy is -3.6533 eV/atom. Its density of states at the Fermi level is 0.62 states/eV/atom.

abc: 4.1005 4.1005 22.3110
angles: 90.00 90.00 120.00
Space group R3m (No. 160, hexagonal axes)
Asymmetric unit:
Na  0.0000  0.0000  0.0000 x3
Te  0.0000  0.0000  0.5620 x3
Te  0.0000  0.0000  0.7682 x3
Pd  0.0000  0.0000  0.1646 x3

Record 22
A relaxed SbP2Rh crystal, computed with GGA-PBE.

The total energy is -5.1890 eV/atom. Its density of states at the Fermi level is 0.75 states/eV/atom.

abc: 4.290 4.290 7.355
angles: 90.00 90.00 90.00
Space group I-4m2 (No. 119)
Asymmetric unit:
Sb  0.000  0.000  0.000 x2
P  0.000  0.000  0.500 x2
P  0.000  0.500  0.750 x2
Rh  0.000  0.500  0.250 x2

Record 23
A relaxed PuCd2Ni crystal, computed with GGA-PBE.

The total energy is -5.1730 eV/atom. The value obtained for the formation energy is 30.2 kJ/mol of atoms. Its density of states at the Fermi level is 1.74 states/eV/atom.

abc: 2.9641 2.9641 32.1761
angles: 90.00 90.00 120.00
Space group R-3m (No. 166, hexagonal axes)
Asymmetric unit:
Pu  0.0000  0.0000  0.0000 x3
Cd  0.0000  0.0000  0.1007 x6
Ni  0.0000  0.0000  0.5000 x3

Record 24
A relaxed Ca3CeTl4 crystal, computed with GGA-PBE.

The total energy is -3.0608 eV/atom. The value obtained for the formation energy is -37.2 kJ/mol of atoms. Its density of states at the Fermi level is 1.34 states/eV/atom.

abc: 5.498 5.498 15.671
angles: 90.00 90.00 90.00
Space group I4/mmm (No. 139)
Asymmetric unit:
Ca  0.000  0.000  0.000 x2
Ca  0.000  0.000  0.248 x4
Ce  0.000  0.000  0.500 x2
Tl  0.000  0.500  0.126 x8

Record 25
A relaxed Si2NiCl crystal, computed with GGA-PBE.

For the polymorph energy (0 for the lowest one), the calculation gives 1.78 eV/f.u. The total energy is -4.4991 eV/atom. Its density of states at the Fermi level is 0.37 states/eV/atom.

abc: 3.141 3.141 7.030
angles: 90.00 90.00 90.00
Space group P4mm (No. 99)
Asymmetric unit:
Si  0.000  0.000  0.000 x1
Si  0.500  0.500  0.188 x1
Ni  0.500  0.500  0.851 x1
Cl  0.000  0.000  0.633 x1